Material: LiLa2Ge
Method: DFT, GGA-PBE
State: relaxed

Structure (extended XYZ):
```
4
Lattice="4.1921 0.0000 0.0000 0.0000 5.0251 0.0000 0.0000 0.0000 5.0251" Properties=species:S:1:pos:R:3 pbc="T T T"
La 0.0000 2.5125 0.0000
La 0.0000 0.0000 2.5125
Li 2.0960 2.5125 2.5125
Ge 2.0960 0.0000 0.0000
```

Calculated values
ΔE_f = -40 kJ/mol of atoms
spin magnetization = 0.000 μB per cell

Material: Ac2TlAg6
Method: DFT, GGA-PBE
State: relaxed

Structure (extended XYZ):
```
9
Lattice="6.2016 -0.0289 -0.0167 0.0316 6.4521 0.0090 0.0316 3.2223 5.5899" Properties=species:S:1:pos:R:3 pbc="T T T"
Ag 4.1136 4.6422 1.0284
Ag 2.1512 6.4411 2.0695
Ag 2.1512 5.0034 4.5537
Ac 1.0089 3.2208 1.8639
Ag 4.0997 1.7730 1.0261
Tl 0.0000 0.0000 0.0000
Ag 2.1650 7.8726 4.5560
Ac 5.2559 6.4248 3.7182
Ag 4.1136 3.2045 3.5126
```

Calculated values
ΔE_f = -18 kJ/mol of atoms
spin magnetization = 0.000 μB per cell